Density functional theory data (PBE) for a geometry-optimized NiTeRu2 structure.

Cell lengths 8.489, 8.489, 8.489 Å; angles 20.05, 20.05, 20.05 degrees
Positions (direct):
Ru1 0.001 0.001 0.001
Ru2 0.254 0.254 0.254
Te1 0.497 0.497 0.497
Ni1 0.749 0.749 0.749

Calculated values
As for the symmetry: R3m (160). Its total magnetization is 0.00 μB per formula unit. For the uncorrected formation energy, the calculation gives 0.519 eV per atom. The calculation puts the total DFT energy (no corrections) at -6.35 eV per atom.